1.
# GGA-PBE CaYV3, optimized geometry
data_CaYV3
_chemical_formula_sum 'Ca1 Y1 V3'
_space_group_name_H-M_alt 'P 1'
_space_group_IT_number 1
_space_group_name_Hall 'P 1'
_cell_length_a 5.0539
_cell_length_b 5.0539
_cell_length_c 5.0539
_cell_angle_alpha 90.00
_cell_angle_beta 90.00
_cell_angle_gamma 90.00
loop_
_atom_site_label
_atom_site_type_symbol
_atom_site_fract_x
_atom_site_fract_y
_atom_site_fract_z
_atom_site_occupancy
Ca1 Ca 0.0000 0.0000 0.0000 1
Y1 Y 0.5000 0.5000 0.5000 1
V1 V 0.0000 0.5000 0.5000 1
V2 V 0.5000 0.0000 0.5000 1
V3 V 0.5000 0.5000 0.0000 1
# * ρ: 3.6 g cm⁻³
# * energy of formation from the pure elements: 1.599 eV per atom
# * M_tot: 1.607 μB per atom
# * E above lowest polymorph: 0 meV/atom

2.
# GGA-PBE LiSmGa4Ag2, optimized geometry
data_LiSmGa4Ag2
_chemical_formula_sum 'Li1 Sm1 Ga4 Ag2'
_space_group_name_H-M_alt 'P 1'
_space_group_IT_number 1
_space_group_name_Hall 'P 1'
_cell_length_a 8.9482
_cell_length_b 8.9482
_cell_length_c 8.9482
_cell_angle_alpha 29.04
_cell_angle_beta 29.04
_cell_angle_gamma 29.04
loop_
_atom_site_label
_atom_site_type_symbol
_atom_site_fract_x
_atom_site_fract_y
_atom_site_fract_z
_atom_site_occupancy
Li1 Li 0.0000 0.0000 0.0000 1
Sm1 Sm 0.5000 0.5000 0.5000 1
Ga1 Ga 0.1064 0.1064 0.1064 1
Ga2 Ga 0.3740 0.3740 0.3740 1
Ga3 Ga 0.6260 0.6260 0.6260 1
Ga4 Ga 0.8936 0.8936 0.8936 1
Ag1 Ag 0.2636 0.2636 0.2636 1
Ag2 Ag 0.7364 0.7364 0.7364 1
# * ρ: 7.2 g cm⁻³
# * energy of formation from the pure elements: -0.295 eV per atom
# * M_tot: 0.000 μB per atom